1.
# NdGeBO5 (GGA-PBE, optimized geometry)
data_NdGeBO5
_chemical_formula_sum 'Nd4 Ge4 B4 O20'
_space_group_name_H-M_alt 'P 1'
_space_group_IT_number 1
_cell_length_a 4.9490
_cell_length_b 7.5985
_cell_length_c 10.0322
_cell_angle_alpha 90.00
_cell_angle_beta 92.10
_cell_angle_gamma 90.00
loop_
_space_group_symop_operation_xyz
'x,y,z'
loop_
_atom_site_label
_atom_site_fract_x
_atom_site_fract_y
_atom_site_fract_z
Nd1 0.0057 0.1090 0.1807
Nd2 0.0057 0.3910 0.6807
Nd3 0.9943 0.6090 0.3193
Nd4 0.9943 0.8910 0.8193
Ge1 0.4728 0.7327 0.5749
Ge2 0.4728 0.7673 0.0749
Ge3 0.5272 0.2327 0.9251
Ge4 0.5272 0.2673 0.4251
B1 0.4522 0.0960 0.6687
B2 0.4522 0.4040 0.1687
B3 0.5478 0.5960 0.8313
B4 0.5478 0.9040 0.3313
O1 0.2233 0.5856 0.5269
O2 0.2233 0.9144 0.0269
O3 0.2663 0.6044 0.8119
O4 0.2663 0.8956 0.3119
O5 0.2942 0.1588 0.7955
O6 0.2942 0.3412 0.2955
O7 0.3272 0.5804 0.1486
O8 0.3272 0.9196 0.6486
O9 0.3321 0.2137 0.5631
O10 0.3321 0.2863 0.0631
O11 0.6679 0.7137 0.9369
O12 0.6679 0.7863 0.4369
O13 0.6728 0.0804 0.3514
O14 0.6728 0.4196 0.8514
O15 0.7058 0.6588 0.7045
O16 0.7058 0.8412 0.2045
O17 0.7337 0.1044 0.6881
O18 0.7337 0.3956 0.1881
O19 0.7767 0.0856 0.9731
O20 0.7767 0.4144 0.4731
# Symmetry   No. 14
# Raw total energy   -244.38 eV for the cell shown
# V   11.8 A^3/atom

2.
# CsRbPtF2 (GGA-PBE, optimized geometry)
data_CsRbPtF2
_chemical_formula_sum 'Cs3 Rb3 Pt3 F6'
_space_group_name_H-M_alt 'P 1'
_space_group_IT_number 1
_cell_length_a 5.1100
_cell_length_b 5.1100
_cell_length_c 19.1781
_cell_angle_alpha 90.00
_cell_angle_beta 90.00
_cell_angle_gamma 120.00
loop_
_space_group_symop_operation_xyz
'x,y,z'
loop_
_atom_site_label
_atom_site_fract_x
_atom_site_fract_y
_atom_site_fract_z
Cs1 0.0000 0.0000 0.0000
Cs2 0.3333 0.6667 0.6667
Cs3 0.6667 0.3333 0.3333
Rb1 0.0000 0.0000 0.4963
Rb2 0.3333 0.6667 0.1630
Rb3 0.6667 0.3333 0.8296
Pt1 0.0000 0.0000 0.2503
Pt2 0.3333 0.6667 0.9170
Pt3 0.6667 0.3333 0.5836
F1 0.0000 0.0000 0.1450
F2 0.0000 0.0000 0.3569
F3 0.3333 0.6667 0.0235
F4 0.3333 0.6667 0.8117
F5 0.6667 0.3333 0.4784
F6 0.6667 0.3333 0.6902
# Symmetry   No. 160
# Raw total energy   -58.54 eV for the cell shown
# V   28.9 A^3/atom

3.
# AgPdNO (GGA-PBE, optimized geometry)
data_AgPdNO
_chemical_formula_sum 'Ag4 Pd4 N4 O4'
_space_group_name_H-M_alt 'P 1'
_space_group_IT_number 1
_cell_length_a 6.2212
_cell_length_b 6.4089
_cell_length_c 5.6056
_cell_angle_alpha 90.00
_cell_angle_beta 90.00
_cell_angle_gamma 90.00
loop_
_space_group_symop_operation_xyz
'x,y,z'
loop_
_atom_site_label
_atom_site_fract_x
_atom_site_fract_y
_atom_site_fract_z
Ag1 0.0884 0.1598 0.0000
Ag2 0.4116 0.1598 0.5000
Ag3 0.5884 0.8402 0.0000
Ag4 0.9116 0.8402 0.5000
Pd1 0.0634 0.5859 0.9608
Pd2 0.4366 0.5859 0.4608
Pd3 0.5634 0.4141 0.9608
Pd4 0.9366 0.4141 0.4608
N1 0.1420 0.6176 0.6176
N2 0.3580 0.6176 0.1176
N3 0.6420 0.3824 0.6176
N4 0.8580 0.3824 0.1176
O1 0.0679 0.1370 0.5843
O2 0.4321 0.1370 0.0843
O3 0.5679 0.8630 0.5843
O4 0.9321 0.8630 0.0843
# Symmetry   No. 29
# Energy above the lowest structure with this stoichiometry   119 meV/atom
# V   14.0 A^3/atom

4.
# CdNiGeS3 (GGA-PBE, optimized geometry)
data_CdNiGeS3
_chemical_formula_sum 'Cd2 Ni2 Ge2 S6'
_space_group_name_H-M_alt 'P 1'
_space_group_IT_number 1
_cell_length_a 7.4094
_cell_length_b 7.4094
_cell_length_c 10.2027
_cell_angle_alpha 90.00
_cell_angle_beta 90.00
_cell_angle_gamma 153.46
loop_
_space_group_symop_operation_xyz
'x,y,z'
loop_
_atom_site_label
_atom_site_fract_x
_atom_site_fract_y
_atom_site_fract_z
Cd1 0.0338 0.9662 0.7500
Cd2 0.9662 0.0338 0.2500
Ni1 0.5000 0.5000 0.0000
Ni2 0.5000 0.5000 0.5000
Ge1 0.3010 0.6990 0.7500
Ge2 0.6990 0.3010 0.2500
S1 0.0904 0.9096 0.0624
S2 0.0904 0.9096 0.4376
S3 0.3150 0.6850 0.2500
S4 0.6850 0.3150 0.7500
S5 0.9096 0.0904 0.5624
S6 0.9096 0.0904 0.9376
# Symmetry   No. 63
# Energy above the lowest structure with this stoichiometry   0 meV/atom
# V   20.9 A^3/atom

5.
# Pr2HoTl2Cd4 (GGA-PBE, optimized geometry)
data_Pr2HoTl2Cd4
_chemical_formula_sum 'Pr2 Ho1 Tl2 Cd4'
_space_group_name_H-M_alt 'P 1'
_space_group_IT_number 1
_cell_length_a 4.6627
_cell_length_b 7.6428
_cell_length_c 7.6428
_cell_angle_alpha 119.04
_cell_angle_beta 90.00
_cell_angle_gamma 90.00
loop_
_space_group_symop_operation_xyz
'x,y,z'
loop_
_atom_site_label
_atom_site_fract_x
_atom_site_fract_y
_atom_site_fract_z
Pr1 0.0000 0.2111 0.7889
Pr2 0.0000 0.7889 0.2111
Ho1 0.0000 0.6352 0.6352
Tl1 0.5000 0.5490 0.8741
Tl2 0.5000 0.8741 0.5490
Cd1 0.0000 0.2233 0.2233
Cd2 0.5000 0.2133 0.4527
Cd3 0.5000 0.4527 0.2133
Cd4 0.5000 0.9778 0.9778
# Symmetry   No. 38
# Raw total energy   -25.65 eV for the cell shown
# V   26.5 A^3/atom

6.
# Dy2Ta (GGA-PBE, optimized geometry)
data_Dy2Ta
_chemical_formula_sum 'Dy4 Ta2'
_space_group_name_H-M_alt 'P 1'
_space_group_IT_number 1
_cell_length_a 5.9817
_cell_length_b 5.9817
_cell_length_c 5.9817
_cell_angle_alpha 60.00
_cell_angle_beta 60.00
_cell_angle_gamma 60.00
loop_
_space_group_symop_operation_xyz
'x,y,z'
loop_
_atom_site_label
_atom_site_fract_x
_atom_site_fract_y
_atom_site_fract_z
Dy1 0.0000 0.0000 0.0000
Dy2 0.0000 0.0000 0.5000
Dy3 0.0000 0.5000 0.0000
Dy4 0.5000 0.0000 0.0000
Ta1 0.3750 0.3750 0.3750
Ta2 0.6250 0.6250 0.6250
# Energy relative to the elements   0.99 eV per atom
# Symmetry   No. 227
# Energy above the lowest structure with this stoichiometry   0 meV/atom
# V   25.2 A^3/atom

7.
# TbPr2MgO6 (GGA-PBE, optimized geometry)
data_TbPr2MgO6
_chemical_formula_sum 'Tb2 Pr4 Mg2 O12'
_space_group_name_H-M_alt 'P 1'
_space_group_IT_number 1
_cell_length_a 5.6721
_cell_length_b 5.9286
_cell_length_c 9.8242
_cell_angle_alpha 90.00
_cell_angle_beta 124.11
_cell_angle_gamma 90.00
loop_
_space_group_symop_operation_xyz
'x,y,z'
loop_
_atom_site_label
_atom_site_fract_x
_atom_site_fract_y
_atom_site_fract_z
Tb1 0.0000 0.0000 0.0000
Tb2 0.0000 0.5000 0.5000
Pr1 0.2730 0.0606 0.7510
Pr2 0.2730 0.4394 0.2510
Pr3 0.7270 0.5606 0.7490
Pr4 0.7270 0.9394 0.2490
Mg1 0.5000 0.0000 0.5000
Mg2 0.5000 0.5000 0.0000
O1 0.1367 0.0516 0.2610
O2 0.1367 0.4484 0.7610
O3 0.2684 0.6895 0.0631
O4 0.2684 0.8105 0.5631
O5 0.3809 0.2045 0.0647
O6 0.3809 0.2955 0.5647
O7 0.6191 0.7045 0.4353
O8 0.6191 0.7955 0.9353
O9 0.7316 0.1895 0.4369
O10 0.7316 0.3105 0.9369
O11 0.8633 0.5516 0.2390
O12 0.8633 0.9484 0.7390
# Symmetry   No. 14
# Raw total energy   -149.76 eV for the cell shown
# V   13.7 A^3/atom

8.
# Pr2Nd2CI2Cl3 (GGA-PBE, optimized geometry)
data_Pr2Nd2CI2Cl3
_chemical_formula_sum 'Pr2 Nd2 C1 I2 Cl3'
_space_group_name_H-M_alt 'P 1'
_space_group_IT_number 1
_cell_length_a 9.3708
_cell_length_b 9.3708
_cell_length_c 8.2743
_cell_angle_alpha 100.72
_cell_angle_beta 100.72
_cell_angle_gamma 24.56
loop_
_space_group_symop_operation_xyz
'x,y,z'
loop_
_atom_site_label
_atom_site_fract_x
_atom_site_fract_y
_atom_site_fract_z
Pr1 0.1411 0.1411 0.0692
Pr2 0.8589 0.8589 0.9308
Nd1 0.4945 0.4945 0.2097
Nd2 0.5055 0.5055 0.7903
C1 0.0000 0.0000 0.0000
I1 0.3337 0.3337 0.6318
I2 0.6663 0.6663 0.3682
Cl1 0.0000 0.0000 0.5000
Cl2 0.3306 0.3306 0.1628
Cl3 0.6694 0.6694 0.8372
# Symmetry   No. 12
# Energy above the lowest structure with this stoichiometry   20 meV/atom
# V   29.6 A^3/atom